# Pm2ZnGa4Rh3

A geometry-optimized Pm2ZnGa4Rh3 structure (PBE-GGA, Alexandria via LeMat-Bulk).

Cell and atoms, written as POSCAR:
```
Pm2ZnGa4Rh3
1.0
4.094 0.000 0.000
0.000 4.094 0.000
0.000 0.000 11.150
Pm Zn Ga Rh
2 1 4 3
direct
0.000 0.500 0.243 Pm
0.500 0.000 0.757 Pm
0.000 0.000 0.500 Zn
0.000 0.000 0.000 Ga
0.000 0.500 0.637 Ga
0.500 0.000 0.363 Ga
0.500 0.500 0.000 Ga
0.000 0.500 0.864 Rh
0.500 0.000 0.136 Rh
0.500 0.500 0.500 Rh
```

The density of states at the Fermi level is 0.82 states/eV per atom. As for the formation energy: -6.83 eV/f.u. Its space-group type is No. 115. For the total energy, the calculation gives -51.77 eV for the cell shown.



# Pm2Zn3Ga4Rh

A geometry-optimized Pm2Zn3Ga4Rh structure (PBE-GGA, Alexandria via LeMat-Bulk).

Cell and atoms, written as POSCAR:
```
Pm2Zn3Ga4Rh
1.0
4.243 0.000 0.000
0.000 4.243 0.000
0.000 0.000 10.517
Pm Zn Ga Rh
2 3 4 1
direct
0.000 0.500 0.246 Pm
0.500 0.000 0.754 Pm
0.000 0.000 0.000 Zn
0.000 0.500 0.638 Zn
0.500 0.000 0.362 Zn
0.000 0.000 0.500 Ga
0.000 0.500 0.871 Ga
0.500 0.000 0.129 Ga
0.500 0.500 0.500 Ga
0.500 0.500 0.000 Rh
```

The density of states at the Fermi level is 0.56 states/eV per atom. As for the formation energy: -5.21 eV/f.u. Its space-group type is No. 115. For the total energy, the calculation gives -37.99 eV for the cell shown.



# PmZn2GaRh

A geometry-optimized PmZn2GaRh structure (PBE-GGA, Alexandria via LeMat-Bulk).

Cell and atoms, written as POSCAR:
```
PmZn2GaRh
1.0
-1.994 2.063 5.627
1.994 -2.063 5.627
1.994 2.063 -5.627
Pm Zn Ga Rh
1 2 1 1
direct
0.000 0.000 0.000 Pm
0.612 0.612 0.000 Zn
0.751 0.251 0.500 Zn
0.385 0.385 0.000 Ga
0.249 0.749 0.500 Rh
```

The density of states at the Fermi level is 0.62 states/eV per atom. As for the formation energy: -2.39 eV/f.u. Its space-group type is No. 44. For the total energy, the calculation gives -20.07 eV for the cell shown.



# PmZn2GaRh2

A geometry-optimized PmZn2GaRh2 structure (PBE-GGA, Alexandria via LeMat-Bulk).

Cell and atoms, written as POSCAR:
```
PmZn2GaRh2
1.0
4.573 0.000 0.000
0.000 4.573 0.000
0.000 0.000 5.680
Pm Zn Ga Rh
1 2 1 2
direct
0.000 0.000 0.000 Pm
0.500 0.500 0.239 Zn
0.500 0.500 0.761 Zn
0.000 0.000 0.500 Ga
0.000 0.500 0.500 Rh
0.500 0.000 0.500 Rh
```

The density of states at the Fermi level is 0.99 states/eV per atom. As for the formation energy: -1.46 eV/f.u. Its space-group type is No. 123. For the total energy, the calculation gives -26.49 eV for the cell shown.



# Pm2ZrGa3Rh4

A geometry-optimized Pm2ZrGa3Rh4 structure (PBE-GGA, Alexandria via LeMat-Bulk).

Cell and atoms, written as POSCAR:
```
Pm2ZrGa3Rh4
1.0
4.224 0.000 0.000
0.000 4.224 0.000
0.000 0.000 10.879
Pm Zr Ga Rh
2 1 3 4
direct
0.000 0.500 0.227 Pm
0.500 0.000 0.773 Pm
0.000 0.000 0.500 Zr
0.000 0.500 0.879 Ga
0.500 0.000 0.121 Ga
0.500 0.500 0.500 Ga
0.000 0.000 0.000 Rh
0.000 0.500 0.647 Rh
0.500 0.000 0.353 Rh
0.500 0.500 0.000 Rh
```

The density of states at the Fermi level is 0.71 states/eV per atom. As for the formation energy: -7.91 eV/f.u. Its space-group type is No. 115. For the total energy, the calculation gives -64.45 eV for the cell shown.



# PmZrGaRh

A geometry-optimized PmZrGaRh structure (PBE-GGA, Alexandria via LeMat-Bulk).

Cell and atoms, written as POSCAR:
```
PmZrGaRh
1.0
0.000 3.469 3.469
3.469 0.000 3.469
3.469 3.469 0.000
Pm Zr Ga Rh
1 1 1 1
direct
0.000 0.000 0.000 Pm
0.500 0.500 0.500 Zr
0.250 0.250 0.250 Ga
0.750 0.750 0.750 Rh
```

The density of states at the Fermi level is 0.98 states/eV per atom. As for the formation energy: -1.84 eV/f.u. Its space-group type is No. 216. For the total energy, the calculation gives -25.52 eV for the cell shown.



# PmGa2Ru2

A geometry-optimized PmGa2Ru2 structure (PBE-GGA, Alexandria via LeMat-Bulk).

Cell and atoms, written as POSCAR:
```
PmGa2Ru2
1.0
-2.031 2.031 11.187
2.031 -2.031 11.187
2.031 2.031 -11.187
Pm Ga Ru
2 4 4
direct
0.129 0.129 0.000 Pm
0.871 0.871 0.000 Pm
0.000 0.500 0.500 Ga
0.319 0.319 0.000 Ga
0.500 0.000 0.500 Ga
0.681 0.681 0.000 Ga
0.250 0.750 0.500 Ru
0.433 0.433 0.000 Ru
0.567 0.567 0.000 Ru
0.750 0.250 0.500 Ru
```

The density of states at the Fermi level is 0.68 states/eV per atom. As for the formation energy: -2.03 eV/f.u. Its space-group type is No. 139. For the total energy, the calculation gives -62.78 eV for the cell shown.



# PmGaRu

A geometry-optimized PmGaRu structure (PBE-GGA, Alexandria via LeMat-Bulk).

Cell and atoms, written as POSCAR:
```
PmGaRu
1.0
0.000 5.025 4.312
2.807 0.000 4.312
2.807 5.025 0.000
Pm Ga Ru
2 2 2
direct
0.000 0.000 0.000 Pm
0.250 0.250 0.250 Pm
0.365 0.365 0.635 Ga
0.615 0.615 0.885 Ga
0.659 0.659 0.341 Ru
0.909 0.909 0.591 Ru
```

The density of states at the Fermi level is 0.42 states/eV per atom. As for the formation energy: -0.45 eV/f.u. Its space-group type is No. 43. For the total energy, the calculation gives -35.01 eV for the cell shown.



# Pm2Ga8Ru

A geometry-optimized Pm2Ga8Ru structure (PBE-GGA, Alexandria via LeMat-Bulk).

Cell and atoms, written as POSCAR:
```
Pm2Ga8Ru
1.0
4.340 0.000 0.000
0.000 4.340 0.000
0.000 0.000 11.448
Pm Ga Ru
2 8 1
direct
0.000 0.000 0.193 Pm
0.000 0.000 0.807 Pm
0.000 0.500 0.000 Ga
0.000 0.500 0.382 Ga
0.000 0.500 0.618 Ga
0.500 0.000 0.000 Ga
0.500 0.000 0.382 Ga
0.500 0.000 0.618 Ga
0.500 0.500 0.192 Ga
0.500 0.500 0.808 Ga
0.000 0.000 0.500 Ru
```

The density of states at the Fermi level is 0.42 states/eV per atom. As for the formation energy: -5.50 eV/f.u. Its space-group type is No. 123. For the total energy, the calculation gives -48.50 eV for the cell shown.



# Pm6Ga3Ru

A geometry-optimized Pm6Ga3Ru structure (PBE-GGA, Alexandria via LeMat-Bulk).

Cell and atoms, written as POSCAR:
```
Pm6Ga3Ru
1.0
6.538 3.775 4.102
-6.538 3.775 4.102
0.000 -7.550 4.102
Pm Ga Ru
12 6 2
direct
0.026 0.942 0.682 Pm
0.058 0.318 0.974 Pm
0.186 0.563 0.428 Pm
0.318 0.974 0.058 Pm
0.428 0.186 0.563 Pm
0.437 0.572 0.814 Pm
0.563 0.428 0.186 Pm
0.572 0.814 0.437 Pm
0.682 0.026 0.942 Pm
0.814 0.437 0.572 Pm
0.942 0.682 0.026 Pm
0.974 0.058 0.318 Pm
0.130 0.298 0.639 Ga
0.298 0.639 0.130 Ga
0.361 0.870 0.702 Ga
0.639 0.130 0.298 Ga
0.702 0.361 0.870 Ga
0.870 0.702 0.361 Ga
0.000 0.000 0.000 Ru
0.500 0.500 0.500 Ru
```

The density of states at the Fermi level is 1.21 states/eV per atom. As for the formation energy: -2.11 eV/f.u. Its space-group type is No. 148. For the total energy, the calculation gives -97.94 eV for the cell shown.



# Pm4Ga2Ru

A geometry-optimized Pm4Ga2Ru structure (PBE-GGA, Alexandria via LeMat-Bulk).

Cell and atoms, written as POSCAR:
```
Pm4Ga2Ru
1.0
8.470 -1.912 0.000
8.470 1.912 0.000
-2.198 0.000 5.853
Pm Ga Ru
4 2 1
direct
0.089 0.089 0.444 Pm
0.367 0.367 0.002 Pm
0.633 0.633 0.998 Pm
0.911 0.911 0.556 Pm
0.262 0.262 0.362 Ga
0.738 0.738 0.638 Ga
0.000 0.000 0.000 Ru
```

The density of states at the Fermi level is 0.70 states/eV per atom. As for the formation energy: -2.20 eV/f.u. Its space-group type is No. 12. For the total energy, the calculation gives -36.53 eV for the cell shown.



# Pm8Ga2Ru

A geometry-optimized Pm8Ga2Ru structure (PBE-GGA, Alexandria via LeMat-Bulk).

Cell and atoms, written as POSCAR:
```
Pm8Ga2Ru
1.0
9.062 -2.568 0.000
9.062 2.568 0.000
-1.394 0.000 6.725
Pm Ga Ru
8 2 1
direct
0.023 0.023 0.280 Pm
0.204 0.204 0.803 Pm
0.347 0.347 0.540 Pm
0.409 0.409 0.058 Pm
0.591 0.591 0.942 Pm
0.653 0.653 0.460 Pm
0.796 0.796 0.197 Pm
0.977 0.977 0.720 Pm
0.192 0.192 0.239 Ga
0.808 0.808 0.761 Ga
0.500 0.500 0.500 Ru
```

The density of states at the Fermi level is 0.90 states/eV per atom. As for the formation energy: -2.82 eV/f.u. Its space-group type is No. 12. For the total energy, the calculation gives -56.16 eV for the cell shown.



density of states at the Fermi level of number 11 (Pm4Ga2Ru)? 0.70 states/eV per atom



Copy entry 11 word for word.
# Pm4Ga2Ru

A geometry-optimized Pm4Ga2Ru structure (PBE-GGA, Alexandria via LeMat-Bulk).

Cell and atoms, written as POSCAR:
```
Pm4Ga2Ru
1.0
8.470 -1.912 0.000
8.470 1.912 0.000
-2.198 0.000 5.853
Pm Ga Ru
4 2 1
direct
0.089 0.089 0.444 Pm
0.367 0.367 0.002 Pm
0.633 0.633 0.998 Pm
0.911 0.911 0.556 Pm
0.262 0.262 0.362 Ga
0.738 0.738 0.638 Ga
0.000 0.000 0.000 Ru
```

The density of states at the Fermi level is 0.70 states/eV per atom. As for the formation energy: -2.20 eV/f.u. Its space-group type is No. 12. For the total energy, the calculation gives -36.53 eV for the cell shown.



The highest density of states at the Fermi level belongs to which entry? Pm6Ga3Ru